First-principles (SCAN) data for a PBEsol-optimized structure of SbRu, as listed in Alexandria via LeMat-Bulk.

Calculated values
SG	Pnma (62)
formation energy (no corrections)	-0.19	eV per atom
E_tot	-36.233	eV/atom
N(E_F)	8.4	states/eV/cell

a = 3.8347 Å, b = 5.8248 Å, c = 6.4805 Å
α = 90.00°, β = 90.00°, γ = 90.00°
Closest atoms and distances in Å follow each position.
Atoms (fractional coordinates):
Ru 0.7500 0.9925 0.7964  6 Sb 2.61-2.72
Ru 0.2500 0.5075 0.2964  6 Sb 2.61-2.72
Ru 0.2500 0.0075 0.2036  6 Sb 2.61-2.72
Ru 0.7500 0.4925 0.7036  6 Sb 2.61-2.72
Sb 0.7500 0.8025 0.4137  6 Ru 2.61-2.72
Sb 0.2500 0.6975 0.9137  6 Ru 2.61-2.72
Sb 0.2500 0.1975 0.5863  6 Ru 2.61-2.72
Sb 0.7500 0.3025 0.0863  6 Ru 2.61-2.72

First-principles (SCAN) data for a PBEsol-optimized structure of SbRu3, as listed in Alexandria via LeMat-Bulk.

Calculated values
SG	R-3m (166)
formation energy (no corrections)	0.55	eV per atom
E_tot	-34.882	eV/atom
N(E_F)	3.7	states/eV/cell

a = 2.8839 Å, b = 5.0413 Å, c = 5.0413 Å
α = 116.45°, β = 100.99°, γ = 100.99°
Closest atoms and distances in Å follow each position.
Atoms (fractional coordinates):
Ru 0.5000 0.5000 0.5000  6 Ru 2.65-2.88, 2 Sb 2.65
Ru 0.0000 0.5000 0.0000  6 Ru 2.65-2.88, 2 Sb 2.65
Ru 0.0000 0.0000 0.5000  2 Sb 2.65, 6 Ru 2.65-2.88
Sb 0.5000 0.0000 0.0000  6 Ru 2.65, 2 Sb 2.88

First-principles (SCAN) data for a PBEsol-optimized structure of Sb2Ru, as listed in Alexandria via LeMat-Bulk.

Calculated values
SG	Pnnm (58)
formation energy (no corrections)	-0.32	eV per atom
E_tot	-36.772	eV/atom
N(E_F)	0.1	states/eV/cell

a = 3.1738 Å, b = 5.9545 Å, c = 6.6594 Å
α = 90.00°, β = 90.00°, γ = 90.00°
Closest atoms and distances in Å follow each position.
Atoms (fractional coordinates):
Sb 0.5000 0.6824 0.1430  3 Ru 2.61-2.65, 1 Sb 2.89
Sb 0.5000 0.3176 0.8570  3 Ru 2.61-2.65, 1 Sb 2.89
Sb 0.0000 0.1824 0.3570  3 Ru 2.61-2.65, 1 Sb 2.89
Sb 0.0000 0.8176 0.6430  3 Ru 2.61-2.65, 1 Sb 2.89
Ru 0.5000 0.5000 0.5000  6 Sb 2.61-2.65
Ru 0.0000 0.0000 0.0000  6 Sb 2.61-2.65

First-principles (SCAN) data for a PBEsol-optimized structure of Sb2Ru, as listed in Alexandria via LeMat-Bulk.

Calculated values
SG	P-3m1 (164)
formation energy (no corrections)	0.03	eV per atom
E_tot	-36.421	eV/atom
N(E_F)	2.7	states/eV/cell

a = 3.5278 Å, b = 3.5278 Å, c = 5.8788 Å
α = 90.00°, β = 90.00°, γ = 120.00°
Closest atoms and distances in Å follow each position.
Atoms (fractional coordinates):
Sb 0.3333 0.6667 0.2877  3 Ru 2.65
Sb 0.6667 0.3333 0.7123  3 Ru 2.65
Ru 0.0000 0.0000 0.0000  6 Sb 2.65